(1)
{"formula": "Nb2CuSnF", "functional": "PBE", "state": "relaxed", "cell": [[4.2535, 0.0000, 0.0000], [0.0000, 4.2535, 0.0000], [0.0000, 0.0000, 4.6035]], "species": ["Nb", "Nb", "Cu", "Sn", "F"], "frac_coords": [[0.0000, 0.5000, 0.0000], [0.5000, 0.0000, 0.0000], [0.0000, 0.0000, 0.5000], [0.5000, 0.5000, 0.5000], [0.0000, 0.0000, 0.0000]], "total_energy_ev_per_atom": -6.085, "formation_energy_uncorrected_ev_per_atom": -0.063, "space_group": "P4/mmm, No. 123", "total_magnetization_mub_per_fu": 0.00}

(2)
{"formula": "KRb2CeCl8", "functional": "PBE", "state": "relaxed", "cell": [[6.6393, 0.0000, 0.0000], [0.0559, 7.3684, 0.0000], [0.0757, 0.0350, 9.3490]], "species": ["K", "Rb", "Rb", "Ce", "Cl", "Cl", "Cl", "Cl", "Cl", "Cl", "Cl", "Cl"], "frac_coords": [[0.0000, 0.0000, 0.0000], [0.4968, 0.5005, 0.2600], [0.5032, 0.4995, 0.7400], [0.0000, 0.0000, 0.5000], [0.1687, 0.5913, 0.9996], [0.1997, 0.6895, 0.5029], [0.2340, 0.1212, 0.7067], [0.2369, 0.1165, 0.2896], [0.7631, 0.8835, 0.7104], [0.7660, 0.8788, 0.2933], [0.8003, 0.3105, 0.4971], [0.8313, 0.4087, 0.0004]], "total_energy_ev_per_atom": -3.751, "formation_energy_uncorrected_ev_per_atom": -1.773, "space_group": "P-1, No. 2", "total_magnetization_mub_per_fu": 1.00}

(3)
{"formula": "Pm8Ir3SBr3", "functional": "PBE", "state": "relaxed", "cell": [[4.1945, 2.4217, 7.3141], [-4.1945, 2.4217, 7.3141], [0.0000, -4.8434, 7.3141]], "species": ["Pm", "Pm", "Pm", "Pm", "Pm", "Pm", "Pm", "Pm", "Ir", "Ir", "Ir", "S", "Br", "Br", "Br"], "frac_coords": [[0.2182, 0.7443, 0.7443], [0.2334, 0.2334, 0.2334], [0.2557, 0.2557, 0.7818], [0.2557, 0.7818, 0.2557], [0.7443, 0.2182, 0.7443], [0.7443, 0.7443, 0.2182], [0.7666, 0.7666, 0.7666], [0.7818, 0.2557, 0.2557], [0.0000, 0.0000, 0.5000], [0.0000, 0.5000, 0.0000], [0.5000, 0.0000, 0.0000], [0.5000, 0.5000, 0.5000], [0.0000, 0.5000, 0.5000], [0.5000, 0.0000, 0.5000], [0.5000, 0.5000, 0.0000]], "total_energy_ev_per_atom": -5.989, "formation_energy_uncorrected_ev_per_atom": -1.073, "space_group": "R-3m, No. 166", "total_magnetization_mub_per_fu": 0.00}

(4)
{"formula": "MnAgTe3", "functional": "PBE", "state": "relaxed", "cell": [[3.5602, 2.0555, 6.0277], [-3.5602, 2.0555, 6.0277], [0.0000, -4.1109, 6.0277]], "species": ["Mn", "Mn", "Ag", "Ag", "Te", "Te", "Te", "Te", "Te", "Te"], "frac_coords": [[0.1641, 0.1641, 0.1641], [0.8359, 0.8359, 0.8359], [0.3703, 0.3703, 0.3703], [0.6297, 0.6297, 0.6297], [0.0429, 0.7913, 0.4235], [0.2087, 0.5765, 0.9571], [0.4235, 0.0429, 0.7913], [0.5765, 0.9571, 0.2087], [0.7913, 0.4235, 0.0429], [0.9571, 0.2087, 0.5765]], "total_energy_ev_per_atom": -4.373, "formation_energy_uncorrected_ev_per_atom": -0.084, "space_group": "R-3, No. 148", "total_magnetization_mub_per_fu": 2.49}